Mg2PtW PBE optimized geometry; symmetry = I-4m2; size of the total moment = 0.01 Bohr magnetons per cell; E = -5.402 eV/atom
1.0
4.0769 0.0000 0.0000
0.0000 4.0769 0.0000
0.0000 0.0000 8.0044
Mg Pt W
4 2 2
direct
0.0000 0.0000 0.0000
0.0000 0.5000 0.2500
0.5000 0.0000 0.7500
0.5000 0.5000 0.5000
0.0000 0.5000 0.7500
0.5000 0.0000 0.2500
0.0000 0.0000 0.5000
0.5000 0.5000 0.0000